1.
DFT (PBE-GGA) results for a relaxed DyMgSc6 crystal.

E_form: 0.34 eV/f.u.
Theoretical density: 3.771 Mg/m³

Cell lengths 6.6582, 6.6582, 5.2349 Å; angles 90.00, 90.00, 120.00 degrees
Space group P-6m2 (No. 187)
Unique sites:
1 Dy 0.0000 0.0000 0.0000 x1
2 Mg 0.3333 0.6667 0.5000 x1
3 Sc 0.3329 0.1665 0.5000 x3
4 Sc 0.5027 0.0055 0.0000 x3

2.
DFT (PBE-GGA) results for a relaxed Y2Fe2Ni crystal.

E_form: 0.14 eV/f.u.
Theoretical density: 6.398 Mg/m³

Cell lengths 6.570, 6.570, 4.188 Å; angles 90.00, 90.00, 90.00 degrees
Space group P4/mbm (No. 127)
Unique sites:
1 Y 0.183 0.317 0.000 x4
2 Fe 0.119 0.619 0.500 x4
3 Ni 0.000 0.000 0.500 x2

3.
DFT (PBE-GGA) results for a relaxed Sm2CrAs4Rh3 crystal.

E_form: -8.21 eV/f.u.
Theoretical density: 8.681 Mg/m³

Cell lengths 4.247, 4.247, 10.194 Å; angles 90.00, 90.00, 90.00 degrees
Space group P-4m2 (No. 115)
Unique sites:
1 Sm 0.000 0.500 0.243 x2
2 Cr 0.000 0.000 0.500 x1
3 As 0.000 0.000 0.000 x1
4 As 0.000 0.500 0.636 x2
5 As 0.500 0.500 0.000 x1
6 Rh 0.000 0.500 0.877 x2
7 Rh 0.500 0.500 0.500 x1

4.
DFT (PBE-GGA) results for a relaxed Sc5AlHg6 crystal.

E_form: -4.28 eV/f.u.
Theoretical density: 9.426 Mg/m³

Cell lengths 4.895, 7.081, 14.793 Å; angles 90.00, 90.00, 90.00 degrees
Space group Immm (No. 71)
Unique sites:
1 Sc 0.000 0.000 0.000 x2
2 Sc 0.000 0.000 0.335 x4
3 Sc 0.000 0.500 0.332 x4
4 Al 0.000 0.500 0.000 x2
5 Hg 0.000 0.247 0.500 x4
6 Hg 0.000 0.254 0.165 x8

Magnetic moment, respectively: 1.02; 5.52; 2.52; 0.01 μB per cell.